(1)
# Ac2La6Cd (PBE-GGA, optimized geometry)
# total energy = -4.262 eV per atom
# formation energy = 0.0378 eV per atom
# density = 6.822 g/cm3
data_Ac2La6Cd
_symmetry_space_group_name_H-M 'C 1 2/m 1'
_symmetry_Int_Tables_number 12
_symmetry_space_group_name_Hall '-C 2y'
_cell_length_a 12.8236
_cell_length_b 7.4264
_cell_length_c 7.1560
_cell_angle_alpha 90.00
_cell_angle_beta 90.27
_cell_angle_gamma 90.00
loop_
_atom_site_label
_atom_site_type_symbol
_atom_site_fract_x
_atom_site_fract_y
_atom_site_fract_z
Ac1 Ac 0.1674 0.0000 0.3379
La1 La 0.0887 0.2326 0.8154
La2 La 0.1766 0.5000 0.1836
Cd1 Cd 0.0000 0.5000 0.5000

=====

(2)
# Mn2SbAuCl (PBE-GGA, optimized geometry)
# total energy = -4.974 eV per atom
# density = 5.548 g/cm3
# ΔE_f (raw) = 544 meV/atom
data_Mn2SbAuCl
_symmetry_space_group_name_H-M 'P 4/m m m'
_symmetry_Int_Tables_number 123
_symmetry_space_group_name_Hall '-P 4 2'
_cell_length_a 5.2075
_cell_length_b 5.2075
_cell_length_c 5.1222
_cell_angle_alpha 90.00
_cell_angle_beta 90.00
_cell_angle_gamma 90.00
loop_
_atom_site_label
_atom_site_type_symbol
_atom_site_fract_x
_atom_site_fract_y
_atom_site_fract_z
Mn1 Mn 0.0000 0.5000 0.0000
Sb1 Sb 0.0000 0.0000 0.5000
Au1 Au 0.0000 0.0000 0.0000
Cl1 Cl 0.5000 0.5000 0.5000

=====

(3)
# Ce2AlTc (PBE-GGA, optimized geometry)
# total energy = -6.647 eV per atom
# formation energy = -0.1531 eV per atom
# density = 7.543 g/cm3
data_Ce2AlTc
_symmetry_space_group_name_H-M 'P 4/m m m'
_symmetry_Int_Tables_number 123
_symmetry_space_group_name_Hall '-P 4 2'
_cell_length_a 3.6153
_cell_length_b 3.6153
_cell_length_c 6.8248
_cell_angle_alpha 90.00
_cell_angle_beta 90.00
_cell_angle_gamma 90.00
loop_
_atom_site_label
_atom_site_type_symbol
_atom_site_fract_x
_atom_site_fract_y
_atom_site_fract_z
Ce1 Ce 0.0000 0.0000 0.2282
Al1 Al 0.5000 0.5000 0.5000
Tc1 Tc 0.5000 0.5000 0.0000

=====

(4)
# InTcBi2 (PBE-GGA, optimized geometry)
# total energy = -4.451 eV per atom
# formation energy = 0.7652 eV per atom
# density = 9.715 g/cm3
data_InTcBi2
_symmetry_space_group_name_H-M 'R -3 m'
_symmetry_Int_Tables_number 166
_symmetry_space_group_name_Hall '-R 3 2"'
_cell_length_a 3.2389
_cell_length_b 3.2389
_cell_length_c 35.6018
_cell_angle_alpha 90.00
_cell_angle_beta 90.00
_cell_angle_gamma 120.00
loop_
_atom_site_label
_atom_site_type_symbol
_atom_site_fract_x
_atom_site_fract_y
_atom_site_fract_z
In1 In 0.0000 0.0000 0.0000
Tc1 Tc 0.0000 0.0000 0.5000
Bi1 Bi 0.0000 0.0000 0.4222

=====

(5)
# CoCuBr2 (PBE-GGA, optimized geometry)
# total energy = -3.124 eV per atom
# density = 6.364 g/cm3
# ΔE_f (raw) = 512 meV/atom
data_CoCuBr2
_symmetry_space_group_name_H-M 'P 4/m m m'
_symmetry_Int_Tables_number 123
_symmetry_space_group_name_Hall '-P 4 2'
_cell_length_a 4.7227
_cell_length_b 4.7227
_cell_length_c 3.3024
_cell_angle_alpha 90.00
_cell_angle_beta 90.00
_cell_angle_gamma 90.00
loop_
_atom_site_label
_atom_site_type_symbol
_atom_site_fract_x
_atom_site_fract_y
_atom_site_fract_z
Co1 Co 0.0000 0.0000 0.0000
Cu1 Cu 0.5000 0.5000 0.0000
Br1 Br 0.0000 0.5000 0.5000

=====

(6)
# HIr2RuI (PBE-GGA, optimized geometry)
# total energy = -5.232 eV per atom
# density = 12.582 g/cm3
data_HIr2RuI
_symmetry_space_group_name_H-M 'P 4/m m m'
_symmetry_Int_Tables_number 123
_symmetry_space_group_name_Hall '-P 4 2'
_cell_length_a 4.9461
_cell_length_b 4.9461
_cell_length_c 3.3092
_cell_angle_alpha 90.00
_cell_angle_beta 90.00
_cell_angle_gamma 90.00
loop_
_atom_site_label
_atom_site_type_symbol
_atom_site_fract_x
_atom_site_fract_y
_atom_site_fract_z
H1 H 0.0000 0.0000 0.0000
Ir1 Ir 0.0000 0.5000 0.5000
Ru1 Ru 0.0000 0.0000 0.5000
I1 I 0.5000 0.5000 0.0000

=====

Question: Which value of total energy does entry 4 give?
Answer: -4.451 eV per atom

=====

Question: Which of these has the highest total energy?
Answer: CoCuBr2

=====

Question: Among the records above, which one has the highest density?
Answer: HIr2RuI

=====

Question: What is the formula in the second record?
Answer: Mn2SbAuCl